Np2SeS2 (PBE-GGA, relaxed); ΔE_f (raw) = -1.25 eV per atom; magnetic moment = 1.600 μB per atom; offset from the most stable computed form = 74 meV per atom
1.0
6.713 1.712 -0.074
-1.579 6.742 0.074
-2.622 -4.173 5.487
Se Np S
2 4 4
direct
0.551 0.551 0.000 Se
0.699 0.199 0.500 Se
0.456 0.543 0.567 Np
0.794 0.207 0.933 Np
0.975 0.889 0.432 Np
0.275 0.861 0.068 Np
0.399 0.960 0.814 S
0.144 0.584 0.184 S
0.851 0.790 0.686 S
0.106 0.166 0.316 S